Entry 1:
Below is crystalline KBaAg2 at its relaxed geometry, with properties calculated at the GGA-PBE level.

Summary:
As for the space group: No. 166. Its density of states at the Fermi level is 0.549 states/eV/atom. As for the total energy: -8.7 eV for the cell shown. The energy above the lowest structure with this stoichiometry comes out at 118.3 meV per atom.

Cell lengths 4.792, 4.792, 8.783 Å; angles 74.14, 74.14, 59.97 degrees
Atoms (fractional coordinates):
1 Ag 0.497 0.497 0.509
2 Ag 0.003 0.003 0.991
3 K 0.250 0.250 0.250
4 Ba 0.750 0.750 0.750

Entry 2:
Below is crystalline KBa2Ag2 at its relaxed geometry, with properties calculated at the GGA-PBE level.

Summary:
As for the space group: No. 139. Its density of states at the Fermi level is 0.723 states/eV/atom. As for the total energy: -10.4 eV for the cell shown. The energy above the lowest structure with this stoichiometry comes out at 219.1 meV per atom.

Cell lengths 6.122, 6.122, 8.035 Å; angles 67.60, 67.60, 90.00 degrees
Atoms (fractional coordinates):
1 K 0.000 0.000 0.000
2 Ag 0.750 0.250 0.500
3 Ag 0.250 0.750 0.500
4 Ba 0.340 0.340 0.321
5 Ba 0.660 0.660 0.679

Calculated ΔE_f, 0.00 0.06 eV per atom (same order as the records).